(1)
{"formula": "YTm2PuO8", "functional": "PBE-GGA", "state": "optimized geometry", "lattice_angstrom": [[5.043, -0.048, -0.003], [-0.022, 5.044, -0.006], [0.004, 0.008, 6.914]], "species": ["O", "O", "Y", "O", "Pu", "O", "Tm", "O", "O", "Tm", "O", "O"], "frac_coords": [[0.814, 0.187, 0.221], [0.689, 0.690, 0.500], [0.000, 0.000, 0.500], [0.717, 0.718, 0.000], [0.000, 0.000, 0.000], [0.283, 0.282, 0.000], [0.500, 0.500, 0.740], [0.814, 0.187, 0.779], [0.311, 0.310, 0.500], [0.500, 0.500, 0.260], [0.186, 0.813, 0.779], [0.186, 0.813, 0.221]], "formation_energy_uncorrected_mev_per_atom": -3116, "m_tot_mub_per_cell": 1.0, "dft_energy_ev_per_cell": -106.79, "crystal_system": "orthorhombic"}



(2)
{"formula": "Ba2LaCr2N6", "functional": "PBE-GGA", "state": "optimized geometry", "lattice_angstrom": [[6.061, 0.000, 0.000], [-3.031, 5.375, -0.314], [0.000, -3.460, 6.302]], "species": ["N", "Cr", "Ba", "N", "N", "N", "La", "Cr", "N", "N", "Ba"], "frac_coords": [[0.224, 0.447, 0.352], [0.037, 0.073, 0.200], [0.288, 0.576, 0.811], [0.776, 0.553, 0.648], [0.813, 0.095, 0.793], [0.718, 0.905, 0.207], [0.500, 0.000, 0.500], [0.963, 0.927, 0.800], [0.187, 0.905, 0.207], [0.282, 0.095, 0.793], [0.712, 0.424, 0.189]], "formation_energy_uncorrected_mev_per_atom": -717, "m_tot_mub_per_cell": 1.0, "dos_at_fermi_per_ev_atom": 0.363, "dft_energy_ev_per_cell": -85.85, "crystal_system": "monoclinic"}



(3)
{"formula": "Tm3SnPt", "functional": "PBE-GGA", "state": "optimized geometry", "lattice_angstrom": [[4.507, -0.001, 0.000], [0.002, 6.720, 0.000], [0.000, 0.000, 8.786]], "species": ["Sn", "Tm", "Tm", "Tm", "Pt", "Pt", "Tm", "Sn", "Tm", "Tm"], "frac_coords": [[0.750, 0.250, 0.147], [0.750, 0.997, 0.663], [0.250, 0.003, 0.337], [0.250, 0.250, 0.923], [0.250, 0.250, 0.599], [0.750, 0.750, 0.401], [0.750, 0.750, 0.077], [0.250, 0.750, 0.853], [0.250, 0.497, 0.337], [0.750, 0.503, 0.663]], "m_tot_mub_per_cell": 0.0, "dos_at_fermi_per_ev_atom": 0.689, "dft_energy_ev_per_cell": -55.25, "crystal_system": "orthorhombic", "ef_kcal_per_mol_atoms": -19.21}



(4)
{"formula": "Pr3Dy3ScSe8", "functional": "PBE-GGA", "state": "optimized geometry", "lattice_angstrom": [[-3.627, 0.148, 7.380], [3.755, -6.840, -2.600], [4.565, 6.649, 2.110]], "species": ["Pr", "Pr", "Pr", "Dy", "Sc", "Dy", "Se", "Se", "Se", "Se", "Se", "Se", "Se", "Se", "Dy"], "frac_coords": [[0.500, 0.500, 0.000], [0.000, 0.500, 0.000], [0.000, 0.000, 0.000], [0.500, 0.000, 0.500], [0.000, 0.000, 0.500], [0.000, 0.500, 0.500], [0.241, 0.483, 0.731], [0.748, 0.990, 0.731], [0.252, 0.010, 0.269], [0.759, 0.517, 0.269], [0.241, 0.990, 0.731], [0.759, 0.010, 0.269], [0.255, 0.511, 0.266], [0.745, 0.489, 0.734], [0.500, 0.500, 0.500]], "formation_energy_uncorrected_mev_per_atom": -1827, "m_tot_mub_per_cell": 0.0, "dos_at_fermi_per_ev_atom": 0.481, "dft_energy_ev_per_cell": -89.76, "crystal_system": "trigonal"}



Number 2 is which compound? Ba2LaCr2N6